(1)
A plane-wave DFT calculation with GGA-PBE was carried out for a relaxed Zr3P2H crystal.

Cell: 5.2085 7.3159 6.2551 Å, 106.95 114.60 90.00°
Closest atoms and distances in Å follow each position.
Fractional coordinates of all 12 atoms:
P 0.6707 0.5841 0.3374  6 Zr 2.54-2.61
P 0.3332 0.9159 0.6626  6 Zr 2.54-2.61
P 0.3293 0.4159 0.6626  6 Zr 2.54-2.61
P 0.6668 0.0841 0.3374  6 Zr 2.54-2.61
Zr 0.1694 0.5844 0.3358  4 P 2.54-2.61, 2 H 2.59-2.60
Zr 0.1664 0.0844 0.3358  4 P 2.54-2.61, 2 H 2.59-2.60
Zr 0.8336 0.9156 0.6642  4 P 2.54-2.61, 2 H 2.59-2.60
Zr 0.5219 0.7500 0.0000  1 H 2.15
Zr 0.4781 0.2500 0.0000  1 H 2.15
Zr 0.8306 0.4156 0.6642  4 P 2.54-2.61, 2 H 2.59-2.60
H 0.9346 0.7500 0.0000  1 Zr 2.15
H 0.0654 0.2500 0.0000  1 Zr 2.15

Computed properties:
Space group = C2/c, No. 15
Energy relative to the lowest polymorph listed for this composition = 163.0 meV/atom
E = -91.1 eV for the cell shown

***

(2)
A plane-wave DFT calculation with GGA-PBE was carried out for a relaxed ScRh3 crystal.

Cell: 6.2282 4.5632 8.2936 Å, 90.00 164.51 90.00°
Closest atoms and distances in Å follow each position.
Fractional coordinates of all 4 atoms:
Rh 0.0676 0.0000 0.0837  7 Rh 2.61-2.83, 2 Sc 2.92
Rh 0.4324 0.0000 0.9163  7 Rh 2.61-2.83, 2 Sc 2.92
Rh 0.7500 0.5000 0.0000  2 Sc 2.59, 6 Rh 2.64-2.83
Sc 0.2500 0.5000 0.0000  2 Rh 2.59, 2 Sc 2.83

Computed properties:
Space group = P2/m, No. 10
E = -29.8 eV for the cell shown
DFT formation energy = -0.342 eV per atom

***

Question: Look up the E of the second one.
Answer: -29.8 eV for the cell shown

***

Question: What is the formula in the second record?
Answer: ScRh3

***

Question: What is the E in the first record?
Answer: -91.1 eV for the cell shown